No. 1
The following is a DFT calculation (PBE-GGA) of a geometry-optimized Sc2CoNiC structure.

```
5
Lattice="4.5319 0.0000 0.0000 0.0000 4.5319 0.0000 0.0000 0.0000 3.5398" Properties=species:S:1:pos:R:3 pbc="T T T"
Sc 0.0000 2.2660 0.0000
Sc 2.2660 0.0000 0.0000
Co 0.0000 0.0000 1.7699
Ni 2.2660 2.2660 1.7699
C 0.0000 0.0000 0.0000
```


No. 2
The following is a DFT calculation (PBE-GGA) of a geometry-optimized Tl2Cr2Pt structure.

```
10
Lattice="4.0493 0.0000 0.0000 0.0000 4.0493 0.0000 0.0000 0.0000 12.2404" Properties=species:S:1:pos:R:3 pbc="T T T"
Tl 0.0000 2.0247 3.0601
Tl 0.0000 2.0247 9.1803
Tl 2.0247 0.0000 3.0601
Tl 2.0247 0.0000 9.1803
Cr 0.0000 0.0000 0.8834
Cr 0.0000 0.0000 11.3570
Cr 2.0247 2.0247 5.2368
Cr 2.0247 2.0247 7.0036
Pt 0.0000 0.0000 6.1202
Pt 2.0247 2.0247 0.0000
```

Excess energy over the best structure of this formula in the dataset ... 0.398 eV/atom


No. 3
The following is a DFT calculation (PBE-GGA) of a geometry-optimized MnV4Rh5 structure.

```
10
Lattice="2.7592 0.0000 0.0000 0.0000 2.7592 0.0000 0.0000 0.0000 18.1132" Properties=species:S:1:pos:R:3 pbc="T T T"
Mn 0.0000 0.0000 0.0000
V 0.0000 0.0000 3.6119
V 0.0000 0.0000 7.2413
V 0.0000 0.0000 10.8719
V 0.0000 0.0000 14.5013
Rh 1.3796 1.3796 1.8462
Rh 1.3796 1.3796 5.4255
Rh 1.3796 1.3796 9.0566
Rh 1.3796 1.3796 12.6878
Rh 1.3796 1.3796 16.2671
```


No. 4
The following is a DFT calculation (PBE-GGA) of a geometry-optimized TbErBiAs structure.

```
12
Lattice="4.2166 0.0000 0.0000 -2.1083 3.6517 0.0000 0.0000 0.0000 21.9826" Properties=species:S:1:pos:R:3 pbc="T T T"
Tb 0.0000 0.0000 0.0000
Tb 0.0000 2.4345 14.6551
Tb 2.1083 1.2172 7.3275
Er 0.0000 0.0000 4.0851
Er 0.0000 2.4345 18.7401
Er 2.1083 1.2172 11.4126
Bi 0.0000 0.0000 16.7342
Bi 0.0000 2.4345 9.4067
Bi 2.1083 1.2172 2.0791
As 0.0000 0.0000 12.9628
As 0.0000 2.4345 5.6353
As 2.1083 1.2172 20.2904
```


Number 1: total energy -7.32 eV/atom, magnetization 0.003 Bohr magnetons per cell. Number 2: total energy -5.12 eV/atom, magnetization 0.001 Bohr magnetons per cell. Number 3: total energy -8.56 eV/atom, magnetization 3.760 Bohr magnetons per cell. Number 4: total energy -5.51 eV/atom, magnetization 0.000 Bohr magnetons per cell.